Entry 1:
{
  "formula": "InSbN",
  "functional": "PBE",
  "state": "optimized geometry",
  "formation_energy_uncorrected_kj_per_mol_atoms": 32.1,
  "cell": [[-0.0513, -2.9575, -1.5210], [4.7658, 0.1129, -0.3804], [-5.0117, -3.7921, 7.5428]],
  "species": ["N", "N", "In", "In", "Sb", "Sb"],
  "frac_coords": [[0.2500, 0.1313, 0.6431], [0.7500, 0.8687, 0.3569], [0.2500, 0.1514, 0.8876], [0.7500, 0.8486, 0.1124], [0.7500, 0.3733, 0.6059], [0.2500, 0.6267, 0.3941]]
}



Entry 2:
{
  "formula": "Al3BiTe",
  "functional": "PBE",
  "state": "optimized geometry",
  "formation_energy_uncorrected_kj_per_mol_atoms": 69.7,
  "cell": [[-5.1524, -1.3672, -0.0016], [1.2180, -4.5872, -2.4270], [0.6211, -2.3462, 4.7462]],
  "species": ["Al", "Al", "Al", "Te", "Bi"],
  "frac_coords": [[0.5000, 0.0000, 0.0000], [0.0000, 0.0000, 0.5000], [0.0000, 0.5000, 0.0000], [0.0000, 0.0000, 0.0000], [0.5000, 0.5000, 0.5000]]
}



Entry 3:
{
  "formula": "YTa4Sb",
  "functional": "PBE",
  "state": "optimized geometry",
  "formation_energy_uncorrected_kj_per_mol_atoms": 25.6,
  "cell": [[2.4944, -4.5448, 2.2958], [0.6728, -0.3284, 5.6203], [-3.0662, -3.6987, 3.0109]],
  "species": ["Y", "Sb", "Ta", "Ta", "Ta", "Ta"],
  "frac_coords": [[0.7500, 0.7500, 0.7500], [0.0000, 0.0000, 0.0000], [0.3773, 0.3773, 0.3773], [0.3773, 0.8680, 0.3773], [0.3773, 0.3773, 0.8680], [0.8680, 0.3773, 0.3773]]
}



Entry 4:
{
  "formula": "DyGa3Pt2",
  "functional": "PBE",
  "state": "optimized geometry",
  "e_form_mev_per_atom": -827,
  "cell": [[4.0847, 0.0000, 0.0000], [-2.0423, 8.0637, -2.3749], [0.0000, 0.2575, 9.9871]],
  "species": ["Ga", "Ga", "Ga", "Ga", "Ga", "Ga", "Ga", "Ga", "Ga", "Pt", "Pt", "Pt", "Pt", "Pt", "Pt", "Dy", "Dy", "Dy"],
  "frac_coords": [[0.3435, 0.6869, 0.0554], [0.5000, 0.0000, 0.5000], [0.7798, 0.5596, 0.6203], [0.0448, 0.0895, 0.3612], [0.6313, 0.2627, 0.1902], [0.2202, 0.4404, 0.3797], [0.9552, 0.9105, 0.6388], [0.3687, 0.7373, 0.8098], [0.6565, 0.3131, 0.9446], [0.5178, 0.0356, 0.7792], [0.2051, 0.4101, 0.1138], [0.6422, 0.2845, 0.4521], [0.7949, 0.5899, 0.8862], [0.3578, 0.7155, 0.5479], [0.4822, 0.9644, 0.2208], [0.0000, 0.0000, 0.0000], [0.8464, 0.6928, 0.2953], [0.1536, 0.3072, 0.7047]]
}



Entry 5:
{
  "formula": "Li6MgCu2",
  "functional": "PBE",
  "state": "optimized geometry",
  "e_form_mev_per_atom": 33,
  "cell": [[-2.9557, -2.8107, 1.8754], [-1.5616, -3.5014, -2.3356], [5.3559, -7.2417, 2.9608]],
  "species": ["Li", "Li", "Li", "Li", "Li", "Li", "Cu", "Cu", "Mg"],
  "frac_coords": [[0.2895, 0.2895, 0.1315], [0.5769, 0.5769, 0.2693], [0.7105, 0.7105, 0.8685], [0.1891, 0.1891, 0.4326], [0.4231, 0.4231, 0.7307], [0.8109, 0.8109, 0.5674], [0.9060, 0.9060, 0.2820], [0.0940, 0.0940, 0.7180], [0.0000, 0.0000, 0.0000]]
}



Entry 6:
{
  "formula": "Li2DyZrTe4",
  "functional": "PBE",
  "state": "optimized geometry",
  "formation_energy_uncorrected_kj_per_mol_atoms": -104.2,
  "cell": [[4.1650, 0.0000, 0.0000], [0.0000, 7.2753, 0.1445], [0.0000, -2.5294, 7.0645]],
  "species": ["Te", "Te", "Te", "Te", "Li", "Li", "Dy", "Zr"],
  "frac_coords": [[0.0000, 0.2590, 0.7489], [0.5000, 0.2619, 0.2569], [0.0000, 0.7410, 0.2511], [0.5000, 0.7381, 0.7431], [0.5000, 0.0000, 0.5000], [0.0000, 0.5000, 0.5000], [0.0000, 0.0000, 0.0000], [0.5000, 0.5000, 0.0000]]
}



Entry 7:
{
  "formula": "LaDy3Sb4",
  "functional": "PBE",
  "state": "optimized geometry",
  "formation_energy_uncorrected_kj_per_mol_atoms": -111.8,
  "cell": [[-1.4925, 2.7123, -3.1996], [-7.2535, -1.7828, 1.8724], [2.2843, 6.1007, 4.1061]],
  "species": ["Dy", "Dy", "Dy", "Sb", "Sb", "Sb", "Sb", "La"],
  "frac_coords": [[0.0000, 0.0000, 0.5000], [0.5000, 0.5000, 0.5000], [0.0000, 0.5000, 0.0000], [0.0000, 0.2590, 0.2590], [0.0000, 0.7410, 0.7410], [0.5000, 0.7456, 0.2544], [0.5000, 0.2544, 0.7456], [0.5000, 0.0000, 0.0000]]
}



Entry 8:
{
  "formula": "KGe2Pd",
  "functional": "PBE",
  "state": "optimized geometry",
  "e_form_mev_per_atom": -201,
  "cell": [[-2.7913, -1.4528, -1.0441], [1.7692, -2.5295, -1.2100], [-0.6293, -3.7231, 6.8628]],
  "species": ["K", "Ge", "Ge", "Pd"],
  "frac_coords": [[0.5000, 0.5000, 0.5000], [0.0000, 0.0000, 0.8238], [0.0000, 0.0000, 0.1762], [0.5000, 0.5000, 0.0000]]
}



no.,calculated total energy (eV/atom)
1,-4.729
2,-2.928
3,-9.400
4,-5.122
5,-2.330
6,-4.773
7,-5.561
8,-4.082